(1)
The following is a PBE calculation of Ti3SbTe after structural relaxation, from the Alexandria database.

Unit cell a=3.761 b=8.268 c=8.269 alpha=59.86 beta=90.00 gamma=90.00
Fractional coordinates of all 10 atoms:
Ti 0.863 0.801 0.436
Ti 0.363 0.062 0.114
Ti 0.863 0.587 0.057
Ti 0.363 0.326 0.378
Ti 0.863 0.384 0.854
Sb 0.863 0.194 0.246
Te 0.363 0.694 0.246
Ti 0.863 0.005 0.639
Te 0.363 0.194 0.746
Sb 0.363 0.694 0.746

## Properties
Mass density (g/cm3): 5.87
VASP energy (eV per atom): -6.334
Space group: Cmmm (65)
Excess energy over the best structure of this formula in the dataset (meV/atom): 317
ΔE_f (raw) (eV per atom): -0.14

(2)
The following is a PBE calculation of TiSb3Te after structural relaxation, from the Alexandria database.

Unit cell a=5.640 b=5.640 c=5.640 alpha=90.00 beta=90.00 gamma=90.00
Each line ends with the local moment (μB).
Fractional coordinates of all 5 atoms:
Te 0.000 0.000 0.000  0.01
Sb 0.000 0.000 0.500  -0.06
Sb 0.500 0.000 0.000  0.00
Ti 0.500 0.500 0.500  1.79
Sb 0.000 0.500 0.000  -0.04

## Properties
Mass density (g/cm3): 5.00
VASP energy (eV per atom): -3.565
Space group: Pm-3m (221)
Excess energy over the best structure of this formula in the dataset (meV/atom): 921
ΔE_f (raw) (eV per atom): 1.12

(3)
The following is a PBE calculation of Ti7Sb2Te2 after structural relaxation, from the Alexandria database.

Unit cell a=6.369 b=5.918 c=6.369 alpha=80.42 beta=99.64 gamma=99.58
Each line ends with the local moment (μB).
Fractional coordinates of all 11 atoms:
Ti 0.957 0.720 0.430  0.32
Sb 0.804 0.500 0.804  -0.01
Ti 0.000 0.000 0.000  0.17
Ti 0.570 0.720 0.043  0.32
Ti 0.430 0.280 0.957  0.32
Sb 0.196 0.500 0.196  -0.01
Ti 0.043 0.280 0.570  0.32
Ti 0.490 0.719 0.510  -0.10
Te 0.727 0.079 0.273  0.00
Ti 0.510 0.281 0.490  -0.10
Te 0.273 0.921 0.727  0.00

## Properties
Mass density (g/cm3): 5.99
VASP energy (eV per atom): -6.499
Space group: C2/m (12)
ΔE_f (raw) (eV per atom): -0.15

(4)
The following is a PBE calculation of Ti4SbTe after structural relaxation, from the Alexandria database.

Unit cell a=5.254 b=10.153 c=5.703 alpha=90.00 beta=90.00 gamma=128.99
Fractional coordinates of all 12 atoms:
Ti 0.818 0.654 0.990
Ti 0.818 0.654 0.510
Ti 0.153 0.958 0.750
Ti 0.402 0.701 0.750
Sb 0.712 0.374 0.750
Sb 0.288 0.626 0.250
Ti 0.847 0.042 0.250
Te 0.229 0.949 0.250
Ti 0.182 0.346 0.490
Ti 0.182 0.346 0.010
Ti 0.598 0.299 0.250
Te 0.771 0.051 0.750

## Properties
Mass density (g/cm3): 6.19
VASP energy (eV per atom): -6.834
Space group: P2_1/m (11)
ΔE_f (raw) (eV per atom): -0.36

(5)
The following is a PBE calculation of Ti5SbTe after structural relaxation, from the Alexandria database.

Unit cell a=7.855 b=7.855 c=7.591 alpha=55.29 beta=55.29 gamma=88.94
Fractional coordinates of all 14 atoms:
Ti 0.793 0.207 0.250
Ti 0.443 0.057 0.768
Ti 0.555 0.713 0.738
Ti 0.445 0.287 0.262
Ti 0.287 0.445 0.762
Ti 0.557 0.943 0.232
Ti 0.207 0.793 0.750
Ti 0.943 0.557 0.732
Te 0.000 0.000 0.000
Ti 0.057 0.443 0.268
Ti 0.713 0.555 0.238
Te 0.000 0.000 0.500
Sb 0.642 0.358 0.750
Sb 0.358 0.642 0.250

## Properties
Mass density (g/cm3): 5.75
VASP energy (eV per atom): -6.908
Space group: C2/c (15)
ΔE_f (raw) (eV per atom): -0.23

(6)
The following is a PBE calculation of Ti8Sb2Te after structural relaxation, from the Alexandria database.

Unit cell a=3.861 b=7.024 c=8.172 alpha=109.81 beta=103.66 gamma=90.00
Fractional coordinates of all 11 atoms:
Ti 0.043 0.750 0.086
Ti 0.957 0.250 0.914
Ti 0.676 0.924 0.351
Te 0.500 0.000 0.000
Ti 0.579 0.452 0.159
Ti 0.421 0.548 0.841
Sb 0.208 0.663 0.417
Sb 0.792 0.337 0.583
Ti 0.324 0.076 0.649
Ti 0.855 0.789 0.710
Ti 0.145 0.211 0.290

## Properties
Mass density (g/cm3): 6.20
VASP energy (eV per atom): -7.086
Space group: C2/m (12)
ΔE_f (raw) (eV per atom): -0.31

(7)
The following is a PBE calculation of Ti2SbTe2 after structural relaxation, from the Alexandria database.

Unit cell a=7.868 b=7.868 c=3.551 alpha=90.00 beta=90.00 gamma=90.00
Fractional coordinates of all 10 atoms:
Ti 0.358 0.858 0.000
Te 0.355 0.145 0.500
Sb 0.500 0.500 0.000
Te 0.855 0.355 0.500
Sb 0.000 0.000 0.000
Ti 0.642 0.142 0.000
Te 0.145 0.645 0.500
Ti 0.858 0.642 0.000
Ti 0.142 0.358 0.000
Te 0.645 0.855 0.500

## Properties
Mass density (g/cm3): 7.14
VASP energy (eV per atom): -5.646
Space group: P4/mbm (127)
ΔE_f (raw) (eV per atom): -0.41

(8)
The following is a PBE calculation of TiSb2Te2 after structural relaxation, from the Alexandria database.

Unit cell a=3.966 b=3.966 c=9.951 alpha=78.50 beta=78.50 gamma=90.00
Each line ends with the local moment (μB).
Fractional coordinates of all 5 atoms:
Te 0.578 0.578 0.844  -0.06
Sb 0.250 0.750 0.500  -0.02
Sb 0.750 0.250 0.500  -0.02
Te 0.422 0.422 0.156  -0.06
Ti 0.000 0.000 0.000  1.16

## Properties
Mass density (g/cm3): 6.04
VASP energy (eV per atom): -4.314
Space group: I4/mmm (139)
Excess energy over the best structure of this formula in the dataset (meV/atom): 35
ΔE_f (raw) (eV per atom): 0.17